1.
This record from OQMD describes a relaxed Dy2TlIn3 crystal. The functional is GGA-PBE.

## Properties
polymorph energy (0 for the lowest one) = 0.00 kJ/mol of atoms
size of the total moment = 0.001 μB/atom

Unit cell a=7.546 b=7.546 c=4.685 alpha=90.00 beta=90.00 gamma=144.29
Sites, in units of the cell vectors:
Dy  0.155  0.845  0.000
Dy  0.845  0.155  0.000
Tl  0.500  0.500  0.000
In  0.000  0.000  0.500
In  0.323  0.677  0.500
In  0.677  0.323  0.500

2.
This record from OQMD describes a relaxed HfTc2Sn crystal. The functional is GGA-PBE.

## Properties
total energy = -35.70 eV/cell
size of the total moment = 0.014 μB/atom

Unit cell a=4.527 b=4.527 c=3.354 alpha=90.00 beta=90.00 gamma=90.00
Sites, in units of the cell vectors:
Hf  0.000  0.000  0.000
Tc  0.000  0.500  0.500
Tc  0.500  0.000  0.500
Sn  0.500  0.500  0.000

3.
This record from OQMD describes a relaxed NiH crystal. The functional is GGA-PBE.

## Properties
total energy = -9.00 eV/cell
size of the total moment = 0.001 μB/atom

Unit cell a=2.691 b=2.691 c=2.691 alpha=60.00 beta=60.00 gamma=60.00
Sites, in units of the cell vectors:
Ni  0.000  0.000  0.000
H  0.250  0.250  0.250

4.
This record from OQMD describes a relaxed RbLuTl crystal. The functional is GGA-PBE.

## Properties
polymorph energy (0 for the lowest one) = 41.84 kJ/mol of atoms
size of the total moment = 0.000 μB/atom

Unit cell a=5.575 b=5.575 c=5.575 alpha=60.00 beta=60.00 gamma=60.00
Sites, in units of the cell vectors:
Rb  0.000  0.000  0.000
Lu  0.750  0.750  0.750
Tl  0.250  0.250  0.250

5.
This record from OQMD describes a relaxed Ho3TmSc2Bi2Os crystal. The functional is GGA-PBE.

## Properties
total energy = -55.52 eV/cell
size of the total moment = 0.002 μB/atom

Unit cell a=4.219 b=8.044 c=8.044 alpha=119.89 beta=90.00 gamma=90.00
Sites, in units of the cell vectors:
Ho  0.000  0.000  0.000
Ho  0.000  0.233  0.621
Ho  0.000  0.621  0.233
Tm  0.500  0.390  0.390
Sc  0.500  0.619  0.845
Sc  0.500  0.845  0.619
Bi  0.500  0.284  0.948
Bi  0.500  0.948  0.284
Os  0.000  0.627  0.627

6.
This record from OQMD describes a relaxed TmNi crystal. The functional is GGA-PBE.

## Properties
ΔE_f = -24 kJ per mole of atoms
size of the total moment = 0.000 μB/atom

Unit cell a=3.831 b=3.831 c=3.831 alpha=60.00 beta=60.00 gamma=60.00
Sites, in units of the cell vectors:
Tm  0.000  0.000  0.000
Ni  0.500  0.500  0.500